Crystalline Ac12Pm3Dy at its relaxed geometry. Source: the Alexandria database, functional PBE.

Results
V = 670.6 Å³/cell
formation enthalpy at 0 K = 0.0284 eV per atom

Cell lengths 5.518, 5.518, 22.023 Å; angles 90.00, 90.00, 90.00 degrees
Space group P4/mmm (No. 123)
One atom of each set of equivalent atoms:
Ac (0.000, 0.000, 0.000) (multiplicity 1)
Ac (0.000, 0.000, 0.249) (multiplicity 2)
Ac (0.000, 0.000, 0.500) (multiplicity 1)
Ac (0.000, 0.500, 0.124) (multiplicity 4)
Ac (0.000, 0.500, 0.374) (multiplicity 4)
Pm (0.500, 0.500, 0.249) (multiplicity 2)
Pm (0.500, 0.500, 0.500) (multiplicity 1)
Dy (0.500, 0.500, 0.000) (multiplicity 1)

Crystalline K2Zn3S4 at its relaxed geometry. Source: the Alexandria database, functional PBE.

Results
V = 848.6 Å³/cell
uncorrected formation energy = -92.24 kJ/mol of atoms

Cell lengths 5.769, 11.017, 13.352 Å; angles 90.00, 90.00, 90.00 degrees
Space group Ibam (No. 72)
One atom of each set of equivalent atoms:
K (0.237, 0.123, 0.000) (multiplicity 8)
Zn (0.000, 0.224, 0.250) (multiplicity 8)
Zn (0.000, 0.500, 0.250) (multiplicity 4)
S (0.222, 0.368, 0.147) (multiplicity 16)

Crystalline LiCrCl2 at its relaxed geometry. Source: the Alexandria database, functional PBE.

Results
V = 301.0 Å³/cell
uncorrected formation energy = -82.68 kJ/mol of atoms

Cell lengths 6.691, 6.691, 6.724 Å; angles 90.00, 90.00, 90.00 degrees
Space group I422 (No. 97)
One atom of each set of equivalent atoms:
Li (0.000, 0.500, 0.000) (multiplicity 4)
Cr (0.000, 0.000, 0.128) (multiplicity 4)
Cl (0.184, 0.316, 0.750) (multiplicity 8)

Crystalline MnOsRh2 at its relaxed geometry. Source: the Alexandria database, functional PBE.

Results
V = 114.8 Å³/cell
formation enthalpy at 0 K = 0.2669 eV per atom

Cell lengths 2.757, 4.625, 9.003 Å; angles 90.00, 90.00, 90.00 degrees
Space group Cmmm (No. 65)
One atom of each set of equivalent atoms:
Mn (0.000, 0.000, 0.000) (multiplicity 2)
Os (0.000, 0.000, 0.500) (multiplicity 2)
Rh (0.000, 0.500, 0.242) (multiplicity 4)

Crystalline Y5InAg2 at its relaxed geometry. Source: the Alexandria database, functional PBE.

Results
V = 877.9 Å³/cell
formation enthalpy at 0 K = -0.2826 eV per atom

Cell lengths 8.052, 8.052, 13.543 Å; angles 90.00, 90.00, 90.00 degrees
Space group I4/mcm (No. 140)
One atom of each set of equivalent atoms:
Y (0.000, 0.000, 0.000) (multiplicity 4)
Y (0.156, 0.344, 0.150) (multiplicity 16)
In (0.000, 0.000, 0.250) (multiplicity 4)
Ag (0.133, 0.367, 0.500) (multiplicity 8)

Crystalline Yb2PbAu2 at its relaxed geometry. Source: the Alexandria database, functional PBE.

Results
V = 245.8 Å³/cell
formation enthalpy at 0 K = -0.8233 eV per atom

Cell lengths 8.029, 8.029, 3.812 Å; angles 90.00, 90.00, 90.00 degrees
Space group P4/mbm (No. 127)
One atom of each set of equivalent atoms:
Yb (0.172, 0.328, 0.000) (multiplicity 4)
Pb (0.000, 0.000, 0.500) (multiplicity 2)
Au (0.126, 0.626, 0.500) (multiplicity 4)